TbDy2Zn3InGa2: optimized geometry, GGA-PBE.

Calculated values
Mass density (g/cm³): 8.2
VASP energy (eV/cell): -31.04

abc: 4.3931 7.0551 7.0551
angles: 120.06 90.00 90.00
Fractional positions:
Tb1 0.0000 0.0000 0.0000
Dy1 0.0000 0.4419 0.8843
Dy2 0.0000 0.8843 0.4419
Zn1 0.5000 0.1882 0.4422
Zn2 0.5000 0.4422 0.1882
Zn3 0.5000 0.6960 0.6960
In1 0.0000 0.4429 0.4429
Ga1 0.5000 0.1092 0.7750
Ga2 0.5000 0.7750 0.1092



PrTmNi8B2: optimized geometry, GGA-PBE.

Calculated values
Energy above the lowest structure with this stoichiometry (meV per atom): 49.9
Mass density (g/cm³): 8.7
VASP energy (eV/cell): -72.28

abc: 5.0342 5.0342 6.9643
angles: 90.00 90.00 120.00
Fractional positions:
Pr1 0.0000 0.0000 0.0000
Tm1 0.0000 0.0000 0.5000
Ni1 0.0000 0.5000 0.2100
Ni2 0.0000 0.5000 0.7900
Ni3 0.3333 0.6667 0.5000
Ni4 0.5000 0.0000 0.2100
Ni5 0.5000 0.0000 0.7900
Ni6 0.5000 0.5000 0.2100
Ni7 0.5000 0.5000 0.7900
Ni8 0.6667 0.3333 0.5000
B1 0.3333 0.6667 0.0000
B2 0.6667 0.3333 0.0000



PrBiNO: optimized geometry, GGA-PBE.

Calculated values
Energy above the lowest structure with this stoichiometry (meV per atom): 223.7
Mass density (g/cm³): 9.1
VASP energy (eV/cell): -52.04

abc: 5.1663 5.1663 5.2023
angles: 90.00 90.00 90.00
Fractional positions:
Pr1 0.2500 0.7500 0.0000
Pr2 0.7500 0.2500 0.0000
Bi1 0.2500 0.2500 0.4914
Bi2 0.7500 0.7500 0.5086
N1 0.2500 0.2500 0.0656
N2 0.7500 0.7500 0.9344
O1 0.2500 0.7500 0.5000
O2 0.7500 0.2500 0.5000



Nb4SiBiC2: optimized geometry, GGA-PBE.

Calculated values
Mass density (g/cm³): 8.5
VASP energy (eV/cell): -71.18

abc: 3.3043 3.3043 13.1473
angles: 90.00 90.00 120.00
Fractional positions:
Nb1 0.0000 0.0000 0.1419
Nb2 0.0000 0.0000 0.8581
Nb3 0.3333 0.6667 0.3173
Nb4 0.3333 0.6667 0.6827
Si1 0.3333 0.6667 0.0000
Bi1 0.0000 0.0000 0.5000
C1 0.6667 0.3333 0.2330
C2 0.6667 0.3333 0.7670



DyCdB: optimized geometry, GGA-PBE.

Calculated values
Energy above the lowest structure with this stoichiometry (meV per atom): 0.0
Mass density (g/cm³): 8.3
VASP energy (eV/cell): -12.38

abc: 4.3270 4.3270 4.3270
angles: 60.00 60.00 60.00
Fractional positions:
Dy1 0.0000 0.0000 0.0000
Cd1 0.5000 0.5000 0.5000
B1 0.7500 0.7500 0.7500



CsGdTe3Au: optimized geometry, GGA-PBE.

Calculated values
Mass density (g/cm³): 6.7
VASP energy (eV/cell): -47.75

abc: 9.1076 9.1076 11.3709
angles: 90.00 90.00 152.62
Fractional positions:
Cs1 0.2481 0.7519 0.7500
Cs2 0.7519 0.2481 0.2500
Gd1 0.0000 0.0000 0.0000
Gd2 0.0000 0.0000 0.5000
Te1 0.0692 0.9308 0.2500
Te2 0.3773 0.6227 0.0506
Te3 0.3773 0.6227 0.4494
Te4 0.6227 0.3773 0.5506
Te5 0.6227 0.3773 0.9494
Te6 0.9308 0.0692 0.7500
Au1 0.4662 0.5338 0.2500
Au2 0.5338 0.4662 0.7500



Sm2BiO4: optimized geometry, GGA-PBE.

Calculated values
Mass density (g/cm³): 7.6
VASP energy (eV/cell): -100.94

abc: 7.0766 7.0766 7.0766
angles: 60.00 60.00 60.00
Fractional positions:
Sm1 0.0000 0.0000 0.0000
Sm2 0.0000 0.0000 0.5000
Sm3 0.0000 0.5000 0.0000
Sm4 0.5000 0.0000 0.0000
Bi1 0.3750 0.3750 0.3750
Bi2 0.6250 0.6250 0.6250
O1 0.2003 0.7666 0.7666
O2 0.2334 0.2334 0.2334
O3 0.2334 0.2334 0.7997
O4 0.2334 0.7997 0.2334
O5 0.7666 0.2003 0.7666
O6 0.7666 0.7666 0.2003
O7 0.7666 0.7666 0.7666
O8 0.7997 0.2334 0.2334



MgZnCuMo: optimized geometry, GGA-PBE.

Calculated values
Energy above the lowest structure with this stoichiometry (meV per atom): 0.0
Mass density (g/cm³): 6.8
VASP energy (eV/cell): -15.89

abc: 4.4117 4.4117 4.4117
angles: 60.00 60.00 60.00
Fractional positions:
Mg1 0.0000 0.0000 0.0000
Zn1 0.5000 0.5000 0.5000
Cu1 0.7500 0.7500 0.7500
Mo1 0.2500 0.2500 0.2500



> Which value of mass density does entry 1 give?

8.2 g/cm³